Below is a geometry-optimized SiPC2 structure, with properties calculated at the GGA-PBEsol level.

Formation energy without anion corrections (eV per atom): 1.958
Crystal system: cubic

abc: 5.251 5.251 5.251
angles: 90.00 90.00 90.00
Sites, in units of the cell vectors:
Si 0.000 0.000 0.000
Si 0.000 0.500 0.500
Si 0.500 0.000 0.500
Si 0.500 0.500 0.000
P 0.000 0.000 0.500
P 0.000 0.500 0.000
P 0.500 0.000 0.000
P 0.500 0.500 0.500
C 0.250 0.250 0.250
C 0.250 0.250 0.750
C 0.250 0.750 0.250
C 0.250 0.750 0.750
C 0.750 0.250 0.250
C 0.750 0.250 0.750
C 0.750 0.750 0.250
C 0.750 0.750 0.750